# 1
Material: PrBeNO
Method: DFT, PBE
State: relaxed

Lattice parameters (Å, degrees): 3.3425 5.4846 5.3482 90.00 90.00 90.00
Last column: nearest neighbours and their distance in Å.
Element x y z (fractional)
Pr1 0.0000 0.2294 0.0000  1 O 2.37, 4 N 2.47-2.50
Pr2 0.0000 0.7706 0.5000  1 O 2.37, 4 N 2.47-2.50
Be1 0.5000 0.1806 0.4979  2 N 1.66-1.67
Be2 0.5000 0.8194 0.9979  2 N 1.66-1.67
N1 0.5000 0.0046 0.7508  2 Be 1.66-1.67
N2 0.5000 0.9954 0.2508  2 Be 1.66-1.67
O1 0.0000 0.3388 0.4933  2 Be 1.88
O2 0.0000 0.6612 0.9933  2 Be 1.88

**Symmetry**: Pmc2_1
**Calculated density**: 6.09 g/cm3


# 2
Material: Cs2RbHfCl6
Method: DFT, PBE
State: relaxed

Lattice parameters (Å, degrees): 7.9090 7.9090 7.9090 60.00 60.00 60.00
Last column: nearest neighbours and their distance in Å.
Element x y z (fractional)
Cs1 0.2500 0.2500 0.2500  12 Cl 3.96
Cs2 0.7500 0.7500 0.7500  12 Cl 3.96
Rb1 0.0000 0.0000 0.0000  6 Cl 3.08
Hf1 0.5000 0.5000 0.5000  6 Cl 2.51
Cl1 0.2756 0.2756 0.7244  1 Hf 2.51
Cl2 0.2756 0.7244 0.2756  1 Hf 2.51
Cl3 0.2756 0.7244 0.7244  1 Hf 2.51
Cl4 0.7244 0.2756 0.2756  1 Hf 2.51
Cl5 0.7244 0.2756 0.7244  1 Hf 2.51
Cl6 0.7244 0.7244 0.2756  1 Hf 2.51

**Symmetry**: Fm-3m
**Calculated density**: 3.52 g/cm3


In order of appearance, E = -7.319; -4.214 eV/atom.